Entry 1:
The following is a DFT calculation (GGA-PBEsol) of an optimized crystal structure of Rh2Pb2Au.

- energy relative to the elements (eV per atom) = 0.029

a = 3.5631 Å, b = 7.2290 Å, c = 7.2290 Å
α = 90.00°, β = 90.00°, γ = 90.00°
Fractional positions:
Pb  0.5000  0.1615  0.6615
Pb  0.5000  0.6615  0.8385
Pb  0.5000  0.8385  0.3385
Pb  0.5000  0.3385  0.1615
Rh  0.0000  0.3591  0.8591
Rh  0.0000  0.8591  0.6409
Rh  0.0000  0.6409  0.1409
Rh  0.0000  0.1409  0.3591
Au  0.0000  0.0000  0.0000
Au  0.0000  0.5000  0.5000

---

Entry 2:
The following is a DFT calculation (GGA-PBEsol) of an optimized crystal structure of Rh3PbAu.

- energy relative to the elements (eV per atom) = 1.437

a = 4.7897 Å, b = 4.7897 Å, c = 4.7897 Å
α = 90.00°, β = 90.00°, γ = 90.00°
Fractional positions:
Pb  0.5000  0.5000  0.5000
Rh  0.0000  0.5000  0.0000
Rh  0.0000  0.0000  0.5000
Rh  0.5000  0.0000  0.0000
Au  0.0000  0.0000  0.0000

---

Entry 3:
The following is a DFT calculation (GGA-PBEsol) of an optimized crystal structure of Ru2PbAu.

- energy relative to the elements (eV per atom) = 0.529

a = 2.9014 Å, b = 2.9014 Å, c = 9.6274 Å
α = 81.33°, β = 81.33°, γ = 60.00°
Fractional positions:
Au  0.4912  0.4912  0.5265
Pb  0.2557  0.2557  0.2329
Ru  0.0095  0.0095  0.9716
Ru  0.7437  0.7437  0.7690

---

Entry 4:
The following is a DFT calculation (GGA-PBEsol) of an optimized crystal structure of RuPb2Au.

- energy relative to the elements (eV per atom) = 0.502

a = 4.6618 Å, b = 4.4021 Å, c = 5.0748 Å
α = 115.70°, β = 117.34°, γ = 90.00°
Fractional positions:
Au  0.0000  0.5000  0.0000
Pb  0.7468  0.7468  0.4935
Pb  0.2532  0.2532  0.5065
Ru  0.5000  0.0000  0.0000

---

Entry 5:
The following is a DFT calculation (GGA-PBEsol) of an optimized crystal structure of Ru2PbAu.

- energy relative to the elements (eV per atom) = 0.594

a = 4.0338 Å, b = 4.0338 Å, c = 4.9310 Å
α = 114.14°, β = 114.14°, γ = 90.00°
Fractional positions:
Au  0.5000  0.5000  0.0000
Pb  0.2500  0.7500  0.5000
Ru  0.0000  0.0000  0.0000
Ru  0.7500  0.2500  0.5000

---

Entry 6:
The following is a DFT calculation (GGA-PBEsol) of an optimized crystal structure of Pb3AuS.

- formation energy without anion corrections (eV/atom) = 0.388

a = 5.3611 Å, b = 5.3611 Å, c = 5.3611 Å
α = 90.00°, β = 90.00°, γ = 90.00°
Fractional positions:
Pb  0.0000  0.5000  0.0000
Pb  0.0000  0.0000  0.5000
Pb  0.5000  0.0000  0.0000
S  0.0000  0.0000  0.0000
Au  0.5000  0.5000  0.5000

---

no.,magnetic moment (μB per formula unit)
1,0.0
2,0.4
3,0.0
4,0.7
5,0.0
6,0.0